First-principles (GGA-PBEsol) data for a geometry-optimized MnRh3 structure, as listed in Alexandria via LeMat-Bulk.

Cell lengths 2.6637, 3.6938, 5.3002 Å; angles 90.00, 90.00, 90.00 degrees
Space group Pmmm (No. 47)
Inequivalent atoms, fractional coordinates:
Mn 0.0000 0.0000 0.0000 x1
Rh 0.0000 0.0000 0.5000 x1
Rh 0.5000 0.5000 0.2457 x2

Summary:
DOS(E_F) = 5.2 states/eV/cell
ΔH_f (0 K) = -0.015 eV/atom
Energy = -34.24 eV/cell